Compound: Li2Au
Source: Alexandria
Functional: PBE-GGA
Structure: optimized geometry

Cell and atoms, written as CIF:
```
data_Li2Au
_cell_length_a 4.489
_cell_length_b 4.489
_cell_length_c 2.910
_cell_angle_alpha 90.00
_cell_angle_beta 90.00
_cell_angle_gamma 90.00
_space_group_name_H-M_alt 'P 4/m m m'
_space_group_IT_number 123
_space_group_name_Hall '-P 4 2'
loop_
_atom_site_label
_atom_site_fract_x
_atom_site_fract_y
_atom_site_fract_z
Li1 0.000 0.500 0.000
Au1 0.000 0.000 0.500
```

Values from the calculation:
- V: 58.6 Å³/cell
- Formation energy from the elements: -385.9 meV per atom

---

Compound: LiAu4
Source: Alexandria
Functional: PBE-GGA
Structure: optimized geometry

Cell and atoms, written as CIF:
```
data_LiAu4
_cell_length_a 4.476
_cell_length_b 4.476
_cell_length_c 4.476
_cell_angle_alpha 90.00
_cell_angle_beta 90.00
_cell_angle_gamma 90.00
_space_group_name_H-M_alt 'P m -3 m'
_space_group_IT_number 221
_space_group_name_Hall '-P 4 2 3'
loop_
_atom_site_label
_atom_site_fract_x
_atom_site_fract_y
_atom_site_fract_z
Li1 0.000 0.000 0.000
Au1 0.000 0.000 0.500
Au2 0.500 0.500 0.500
```

Values from the calculation:
- Relative energy among the computed polymorphs: 574 meV per atom
- V: 89.7 Å³/cell
- Formation energy from the elements: 324.5 meV per atom